# 1
CuHI3: optimized geometry, GGA-PBEsol.

Lattice parameters (Å, degrees): 5.307 5.307 5.307 90.00 90.00 90.00
Space group Pm-3m (No. 221)
One atom of each set of equivalent atoms:
1 Cu 0.000 0.000 0.000
2 H 0.500 0.500 0.500
3 I 0.000 0.000 0.500



# 2
Ba3GeRh: optimized geometry, GGA-PBEsol.

Lattice parameters (Å, degrees): 6.079 6.079 6.079 90.00 90.00 90.00
Space group Pm-3m (No. 221)
One atom of each set of equivalent atoms:
1 Ba 0.000 0.000 0.500
2 Ge 0.000 0.000 0.000
3 Rh 0.500 0.500 0.500

## Properties
For the formation energy from the elements, the calculation gives 486.2 meV/atom.



# 3
BMoP2Cl: optimized geometry, GGA-PBEsol.

Lattice parameters (Å, degrees): 3.997 3.997 4.331 90.00 90.00 90.00
Space group P4/mmm (No. 123)
One atom of each set of equivalent atoms:
1 B 0.000 0.000 0.000
2 Mo 0.500 0.500 0.500
3 P 0.000 0.500 0.000
4 Cl 0.000 0.000 0.500

## Properties
The formation energy without anion corrections is 914 meV per atom.



# 4
TcPF2: optimized geometry, GGA-PBEsol.

Lattice parameters (Å, degrees): 3.459 3.459 15.563 90.00 90.00 90.00
Space group I-42d (No. 122)
One atom of each set of equivalent atoms:
1 Tc 0.000 0.000 0.000
2 P 0.000 0.000 0.500
3 F 0.231 0.250 0.125

## Properties
As for the energy above the lowest structure with this stoichiometry: 0 meV per atom. The formation energy without anion corrections is -608 meV per atom.



# 5
Ba2CdPt: optimized geometry, GGA-PBEsol.

Lattice parameters (Å, degrees): 4.702 4.664 12.059 90.00 90.00 90.00
Space group Amm2 (No. 38)
One atom of each set of equivalent atoms:
1 Ba 0.000 0.000 0.000
2 Ba 0.500 0.000 0.283
3 Cd 0.500 0.000 0.582
4 Pt 0.000 0.000 0.707

## Properties
For the formation energy from the elements, the calculation gives -446.9 meV/atom.



# 6
Dy8In3Co: optimized geometry, GGA-PBEsol.

Lattice parameters (Å, degrees): 10.1983 10.1983 6.8422 90.00 90.00 120.00
Space group P6_3mc (No. 186)
One atom of each set of equivalent atoms:
1 Dy 0.0000 0.0000 0.2811
2 Dy 0.0690 0.5345 0.2893
3 Dy 0.1779 0.3558 0.0000
4 Dy 0.3333 0.6667 0.6804
5 In 0.1630 0.3261 0.5372
6 Co 0.3333 0.6667 0.0697

## Properties
For the formation energy from the elements, the calculation gives -377.0 meV/atom.



# 7
Y2TeP2: optimized geometry, GGA-PBEsol.

Lattice parameters (Å, degrees): 3.821 3.821 15.103 90.00 90.00 90.00
Space group I4/mmm (No. 139)
One atom of each set of equivalent atoms:
1 Y 0.000 0.000 0.117
2 Te 0.000 0.000 0.500
3 P 0.000 0.500 0.250

## Properties
The formation energy without anion corrections is -1146 meV per atom.



# 8
LaY2Os: optimized geometry, GGA-PBEsol.

Lattice parameters (Å, degrees): 3.440 4.622 6.334 90.00 105.30 90.00
Space group P2/m (No. 10)
One atom of each set of equivalent atoms:
1 La 0.000 0.000 0.000
2 Y 0.310 0.500 0.715
3 Os 0.500 0.000 0.500

## Properties
For the formation energy from the elements, the calculation gives 150.3 meV/atom.



# 9
Al4TlSe: optimized geometry, GGA-PBEsol.

Lattice parameters (Å, degrees): 7.840 7.840 7.840 90.00 90.00 90.00
Space group F-43m (No. 216)
One atom of each set of equivalent atoms:
1 Al 0.125 0.125 0.125
2 Tl 0.000 0.000 0.500
3 Se 0.250 0.250 0.750

## Properties
The formation energy without anion corrections is 195 meV per atom.



# 10
Li8NbS6: optimized geometry, GGA-PBEsol.

Lattice parameters (Å, degrees): 6.6671 6.6671 18.2114 90.00 90.00 120.00
Space group R-3 (No. 148, hexagonal axes)
One atom of each set of equivalent atoms:
1 Li 0.0000 0.0000 0.1638
2 Li 0.0112 0.3572 0.3803
3 Nb 0.0000 0.0000 0.5000
4 S 0.0079 0.3171 0.5774

## Properties
As for the energy above the lowest structure with this stoichiometry: 0 meV per atom. The formation energy without anion corrections is -1226 meV per atom.



# 11
CaMg14VO16: optimized geometry, GGA-PBEsol.

Lattice parameters (Å, degrees): 8.521 8.521 4.284 90.00 90.00 90.00
Space group P4/mmm (No. 123)
One atom of each set of equivalent atoms:
1 Ca 0.000 0.000 0.000
2 Mg 0.000 0.256 0.500
3 Mg 0.000 0.500 0.000
4 Mg 0.251 0.500 0.500
5 Mg 0.253 0.253 0.000
6 V 0.500 0.500 0.000
7 O 0.000 0.000 0.500
8 O 0.000 0.263 0.000
9 O 0.000 0.500 0.500
10 O 0.249 0.500 0.000
11 O 0.250 0.250 0.500
12 O 0.500 0.500 0.500

## Properties
The formation energy without anion corrections is -2651 meV per atom.



# 12
Tc2SbBr: optimized geometry, GGA-PBEsol.

Lattice parameters (Å, degrees): 2.989 2.989 8.543 90.00 90.00 90.00
Space group P4mm (No. 99)
One atom of each set of equivalent atoms:
1 Tc 0.000 0.000 0.000
2 Tc 0.500 0.500 0.187
3 Sb 0.500 0.500 0.778
4 Br 0.000 0.000 0.388

## Properties
As for the energy above the lowest structure with this stoichiometry: 0 meV per atom. The formation energy without anion corrections is 128 meV per atom.



Calculated density of states at the Fermi level in order - 0.82, 1.96, 0.51, 0.70, 0.75, 0.22, 0.36, 1.08, 0.34, 0.31, 0.03, 0.39 states/eV/atom
Calculated DFT total energy in order - -2.017, -3.419, -5.561, -5.836, -3.562, -5.086, -6.897, -7.651, -3.613, -4.750, -6.394, -7.112 eV/atom
Calculated V in order - 29.9, 44.9, 13.8, 11.6, 33.1, 25.7, 22.0, 24.3, 20.1, 15.6, 9.7, 19.1 A^3/atom